[1]
The following is a DFT calculation (PBE-GGA) of an optimized crystal structure of InFeNi6.

CIF file:
```
data_InFeNi6
_cell_length_a 7.248
_cell_length_b 10.338
_cell_length_c 10.331
_cell_angle_alpha 90.00
_cell_angle_beta 90.00
_cell_angle_gamma 90.00
_space_group_name_H-M_alt 'C m m m'
_space_group_IT_number 65
_space_group_name_Hall '-C 2 2'
loop_
_atom_site_label
_atom_site_type_symbol
_atom_site_fract_x
_atom_site_fract_y
_atom_site_fract_z
In1 In 0.000 0.000 0.247
In2 In 0.000 0.245 0.500
Fe1 Fe 0.000 0.248 0.000
Fe2 Fe 0.000 0.500 0.246
Ni1 Ni 0.000 0.000 0.000
Ni2 Ni 0.000 0.000 0.500
Ni3 Ni 0.000 0.255 0.239
Ni4 Ni 0.000 0.500 0.000
Ni5 Ni 0.000 0.500 0.500
Ni6 Ni 0.238 0.378 0.368
Ni7 Ni 0.242 0.372 0.119
```

Summary:
* ΔE_f: -0.05 eV per atom
* calculated density: 8.972 g/cm³
* crystal system: orthorhombic
* N(E_F): 54.03 states/eV/cell

=====

[2]
The following is a DFT calculation (PBE-GGA) of an optimized crystal structure of InFeNi2.

CIF file:
```
data_InFeNi2
_cell_length_a 2.834
_cell_length_b 4.323
_cell_length_c 4.467
_cell_angle_alpha 90.00
_cell_angle_beta 90.00
_cell_angle_gamma 90.00
_space_group_name_H-M_alt 'P m m 2'
_space_group_IT_number 25
loop_
_space_group_symop_operation_xyz
'x,y,z'
'-x,-y,z'
'-x,y,z'
'x,-y,z'
loop_
_atom_site_label
_atom_site_type_symbol
_atom_site_fract_x
_atom_site_fract_y
_atom_site_fract_z
In1 In 0.000 0.000 0.000
Fe1 Fe 0.000 0.500 0.418
Ni1 Ni 0.500 0.000 0.501
Ni2 Ni 0.500 0.500 0.880
```

Summary:
* ΔE_f: 0.08 eV per atom
* calculated density: 8.740 g/cm³
* crystal system: orthorhombic
* N(E_F): 3.59 states/eV/cell

=====

[3]
The following is a DFT calculation (PBE-GGA) of an optimized crystal structure of In2Fe2Ni.

CIF file:
```
data_In2Fe2Ni
_cell_length_a 6.186
_cell_length_b 6.186
_cell_length_c 4.164
_cell_angle_alpha 90.00
_cell_angle_beta 90.00
_cell_angle_gamma 90.00
_space_group_name_H-M_alt 'P 4/m b m'
_space_group_IT_number 127
_space_group_name_Hall '-P 4 2ab'
loop_
_atom_site_label
_atom_site_type_symbol
_atom_site_fract_x
_atom_site_fract_y
_atom_site_fract_z
In1 In 0.176 0.324 0.000
Fe1 Fe 0.131 0.631 0.500
Ni1 Ni 0.000 0.000 0.500
```

Summary:
* ΔE_f: 0.26 eV per atom
* calculated density: 8.339 g/cm³
* crystal system: tetragonal
* N(E_F): 11.16 states/eV/cell

=====

[4]
The following is a DFT calculation (PBE-GGA) of an optimized crystal structure of In2FeNi2.

CIF file:
```
data_In2FeNi2
_cell_length_a 6.344
_cell_length_b 6.344
_cell_length_c 3.919
_cell_angle_alpha 90.00
_cell_angle_beta 90.00
_cell_angle_gamma 90.00
_space_group_name_H-M_alt 'P 4/m b m'
_space_group_IT_number 127
_space_group_name_Hall '-P 4 2ab'
loop_
_atom_site_label
_atom_site_type_symbol
_atom_site_fract_x
_atom_site_fract_y
_atom_site_fract_z
In1 In 0.172 0.328 0.000
Fe1 Fe 0.000 0.000 0.500
Ni1 Ni 0.135 0.635 0.500
```

Summary:
* ΔE_f: 0.09 eV per atom
* calculated density: 8.482 g/cm³
* crystal system: tetragonal
* N(E_F): 8.40 states/eV/cell